Entry 1:
Compound: ZrReN2
Source: Alexandria
Functional: PBE
Structure: relaxed

energy relative to the lowest polymorph listed for this composition: 516 meV per atom
energy: -9.353 eV/atom
space group: Fm-3m
D(E_F): 8.1 states/eV per cell

a = 5.581 Å, b = 5.581 Å, c = 5.581 Å
α = 90.00°, β = 90.00°, γ = 90.00°
Fractional coordinates of all 16 atoms:
Zr 0.000 0.000 0.000
Zr 0.000 0.500 0.500
Zr 0.500 0.000 0.500
Zr 0.500 0.500 0.000
Re 0.000 0.000 0.500
Re 0.000 0.500 0.000
Re 0.500 0.000 0.000
Re 0.500 0.500 0.500
N 0.250 0.250 0.250
N 0.250 0.250 0.750
N 0.250 0.750 0.250
N 0.250 0.750 0.750
N 0.750 0.250 0.250
N 0.750 0.250 0.750
N 0.750 0.750 0.250
N 0.750 0.750 0.750

***

Entry 2:
Compound: KAg2Ir
Source: Alexandria
Functional: PBE
Structure: relaxed

energy relative to the lowest polymorph listed for this composition: 214 meV per atom
energy: -3.228 eV/atom
space group: Pmmm
D(E_F): 2.2 states/eV per cell

a = 2.710 Å, b = 5.418 Å, c = 5.582 Å
α = 90.00°, β = 90.00°, γ = 90.00°
Fractional coordinates of all 4 atoms:
K 0.000 0.000 0.000
Ag 0.000 0.500 0.500
Ag 0.500 0.500 0.000
Ir 0.500 0.000 0.500

***

Entry 3:
Compound: Ni2AgHg
Source: Alexandria
Functional: PBE
Structure: relaxed

energy: -3.121 eV/atom
space group: I-42d
D(E_F): 16.2 states/eV per cell

a = 7.047 Å, b = 7.047 Å, c = 5.362 Å
α = 90.00°, β = 90.00°, γ = 90.00°
Fractional coordinates of all 16 atoms:
Ni 0.249 0.250 0.125
Ni 0.250 0.749 0.375
Ni 0.250 0.751 0.875
Ni 0.251 0.250 0.625
Ni 0.749 0.750 0.625
Ni 0.750 0.249 0.875
Ni 0.750 0.251 0.375
Ni 0.751 0.750 0.125
Ag 0.000 0.000 0.000
Ag 0.000 0.500 0.250
Ag 0.500 0.000 0.750
Ag 0.500 0.500 0.500
Hg 0.000 0.000 0.500
Hg 0.000 0.500 0.750
Hg 0.500 0.000 0.250
Hg 0.500 0.500 0.000